(1)
The following is a DFT calculation (PBE) of PtBr2N after structural relaxation.

- Electronic total energy: -35.225 eV for the cell shown
- Total moment: 0.2497 μB/atom
- Polymorph energy (0 for the lowest one): 26 meV/atom
- Crystal system: trigonal

Cell: 3.4610 3.4610 23.5900 Å, 90.00 90.00 120.00°
Space group R-3m (No. 166, hexagonal axes)
One atom of each set of equivalent atoms:
Pt 0.0000 0.0000 0.0000 (multiplicity 3)
Br 0.0000 0.0000 0.1004 (multiplicity 6)
N 0.0000 0.0000 0.5000 (multiplicity 3)


(2)
The following is a DFT calculation (PBE) of PtBr3N2 after structural relaxation.

- Electronic total energy: -42.337 eV for the cell shown
- Total moment: 0.1703 μB/atom
- Polymorph energy (0 for the lowest one): 0 meV/atom
- Crystal system: orthorhombic

Cell: 8.636 8.872 6.635 Å, 90.00 90.00 90.00°
Space group Imm2 (No. 44)
One atom of each set of equivalent atoms:
Pt 0.000 0.000 0.000 (multiplicity 2)
Br 0.000 0.000 0.636 (multiplicity 2)
Br 0.136 0.500 0.113 (multiplicity 4)
N 0.000 0.171 0.130 (multiplicity 4)


(3)
The following is a DFT calculation (PBE) of PtBr2N after structural relaxation.

- Electronic total energy: -47.377 eV for the cell shown
- Total moment: 0.0000 μB/atom
- Polymorph energy (0 for the lowest one): 0 meV/atom
- Crystal system: tetragonal

Cell: 5.138 5.138 12.857 Å, 90.00 90.00 90.00°
Space group I-42d (No. 122)
One atom of each set of equivalent atoms:
Pt 0.000 0.000 0.000 (multiplicity 4)
Br 0.208 0.250 0.625 (multiplicity 8)
N 0.000 0.000 0.500 (multiplicity 4)


(4)
The following is a DFT calculation (PBE) of PtBr3N2 after structural relaxation.

- Electronic total energy: -39.442 eV for the cell shown
- Total moment: 0.2748 μB/atom
- Polymorph energy (0 for the lowest one): 241 meV/atom
- Crystal system: orthorhombic

Cell: 5.380 6.732 8.428 Å, 90.00 90.00 90.00°
Space group Immm (No. 71)
One atom of each set of equivalent atoms:
Pt 0.000 0.000 0.000 (multiplicity 2)
Br 0.000 0.000 0.302 (multiplicity 4)
Br 0.000 0.500 0.500 (multiplicity 2)
N 0.000 0.271 0.000 (multiplicity 4)


(5)
The following is a DFT calculation (PBE) of PtBr2N after structural relaxation.

- Electronic total energy: -44.086 eV for the cell shown
- Total moment: 0.2552 μB/atom
- Polymorph energy (0 for the lowest one): 206 meV/atom
- Crystal system: cubic

Cell: 6.649 6.649 6.649 Å, 90.00 90.00 90.00°
Space group Fm-3m (No. 225)
One atom of each set of equivalent atoms:
Pt 0.000 0.000 0.000 (multiplicity 4)
Br 0.250 0.250 0.250 (multiplicity 8)
N 0.000 0.000 0.500 (multiplicity 4)


(6)
The following is a DFT calculation (PBE) of PtBrN after structural relaxation.

- Electronic total energy: -62.740 eV for the cell shown
- Total moment: 0.0000 μB/atom
- Crystal system: monoclinic

Cell: 10.580 3.292 9.561 Å, 90.00 108.84 90.00°
Space group C2/m (No. 12)
One atom of each set of equivalent atoms:
Pt 0.157 0.000 0.154 (multiplicity 4)
Br 0.187 0.000 0.690 (multiplicity 4)
N 0.053 0.500 0.052 (multiplicity 4)


What is the formula in the fourth record?
PtBr3N2